Model one:
First-principles (PBE) data for a relaxed structure of CsInAu, as listed in Alexandria via LeMat-Bulk.

Cell lengths 3.936, 3.936, 13.363 Å; angles 90.00, 90.00, 90.00 degrees
Space group I4mm (No. 107)
Inequivalent atoms, fractional coordinates:
Cs 0.000 0.000 0.000 x2
In 0.000 0.000 0.278 x2
Au 0.000 0.000 0.715 x2

=====

Model two:
First-principles (PBE) data for a relaxed structure of CsInAu, as listed in Alexandria via LeMat-Bulk.

Cell lengths 4.8267, 4.8267, 5.8420 Å; angles 90.00, 90.00, 120.00 degrees
Space group P-6m2 (No. 187)
Inequivalent atoms, fractional coordinates:
Cs 0.0000 0.0000 0.0000 x1
In 0.6667 0.3333 0.5000 x1
Au 0.3333 0.6667 0.5000 x1

=====

Which is the most stable structure? model two is the most stable.

=====

Model one:
First-principles (PBE) data for a relaxed structure of Cs3In4Au2, as listed in Alexandria via LeMat-Bulk.

Cell lengths 14.882, 4.740, 10.560 Å; angles 90.00, 91.37, 90.00 degrees
Space group C2/m (No. 12)
Inequivalent atoms, fractional coordinates:
Cs 0.000 0.000 0.000 x2
Cs 0.171 0.500 0.660 x4
In 0.055 0.000 0.384 x4
In 0.219 0.500 0.065 x4
Au 0.112 0.500 0.276 x4

=====

Model two:
First-principles (PBE) data for a relaxed structure of Cs3In4Au2, as listed in Alexandria via LeMat-Bulk.

Cell lengths 14.523, 4.916, 10.529 Å; angles 90.00, 113.96, 90.00 degrees
Space group C2/m (No. 12)
Inequivalent atoms, fractional coordinates:
Cs 0.000 0.000 0.000 x2
Cs 0.122 0.500 0.377 x4
In 0.088 0.000 0.645 x4
In 0.227 0.500 0.080 x4
Au 0.168 0.500 0.780 x4

=====

Which is the most stable structure? model two is the most stable.

=====

Model one:
First-principles (PBE) data for a relaxed structure of CsIn3Au, as listed in Alexandria via LeMat-Bulk.

Cell lengths 10.422, 6.739, 9.721 Å; angles 90.00, 105.14, 90.00 degrees
Space group P2_1/c (No. 14)
Inequivalent atoms, fractional coordinates:
Cs 0.085 0.109 0.200 x4
In 0.230 0.595 0.094 x4
In 0.344 0.617 0.419 x4
In 0.451 0.060 0.298 x4
Au 0.377 0.234 0.531 x4

=====

Model two:
First-principles (PBE) data for a relaxed structure of CsIn3Au, as listed in Alexandria via LeMat-Bulk.

Cell lengths 7.189, 7.162, 7.054 Å; angles 90.00, 120.53, 90.00 degrees
Space group Cm (No. 8)
Inequivalent atoms, fractional coordinates:
Cs 0.000 0.000 0.000 x2
In 0.391 0.000 0.782 x2
In 0.494 0.250 0.487 x4
Au 0.129 0.500 0.258 x2

=====

Model three:
First-principles (PBE) data for a relaxed structure of CsIn3Au, as listed in Alexandria via LeMat-Bulk.

Cell lengths 6.607, 6.607, 6.607 Å; angles 90.00, 90.00, 90.00 degrees
Space group Pm-3m (No. 221)
Inequivalent atoms, fractional coordinates:
Cs 0.000 0.000 0.000 x1
In 0.000 0.000 0.500 x3
Au 0.500 0.500 0.500 x1

=====

Which is the most stable structure? model two is the most stable.

=====

Model one:
First-principles (PBE) data for a relaxed structure of CsIn4Au, as listed in Alexandria via LeMat-Bulk.

Cell lengths 18.785, 7.467, 5.853 Å; angles 90.00, 104.59, 90.00 degrees
Space group C2/m (No. 12)
Inequivalent atoms, fractional coordinates:
Cs 0.220 0.000 0.161 x4
In 0.000 0.199 0.000 x4
In 0.090 0.200 0.543 x8
In 0.130 0.500 0.237 x4
Au 0.046 0.500 0.759 x4

=====

Model two:
First-principles (PBE) data for a relaxed structure of CsIn4Au, as listed in Alexandria via LeMat-Bulk.

Cell lengths 4.841, 18.676, 7.932 Å; angles 90.00, 90.00, 90.00 degrees
Space group Cmcm (No. 63)
Inequivalent atoms, fractional coordinates:
Cs 0.000 0.121 0.250 x4
In 0.000 0.072 0.750 x4
In 0.000 0.313 0.054 x8
In 0.000 0.500 0.000 x4
Au 0.000 0.224 0.750 x4

=====

Which is the most stable structure? model one is the most stable.

=====

Model one:
First-principles (PBE) data for a relaxed structure of CsIn2Au4, as listed in Alexandria via LeMat-Bulk.

Cell lengths 9.282, 9.282, 8.348 Å; angles 90.00, 90.00, 90.00 degrees
Space group I4/mcm (No. 140)
Inequivalent atoms, fractional coordinates:
Cs 0.000 0.000 0.250 x4
In 0.133 0.367 0.000 x8
Au 0.154 0.346 0.334 x16

=====

Model two:
First-principles (PBE) data for a relaxed structure of CsIn2Au4, as listed in Alexandria via LeMat-Bulk.

Cell lengths 9.474, 9.474, 3.893 Å; angles 90.00, 90.00, 90.00 degrees
Space group P4_2/mnm (No. 136)
Inequivalent atoms, fractional coordinates:
Cs 0.000 0.000 0.000 x2
In 0.238 0.238 0.500 x4
Au 0.055 0.659 0.500 x8

=====

Which is the most stable structure? model one is the most stable.

=====

Model one:
First-principles (PBE) data for a relaxed structure of Cs2InAu, as listed in Alexandria via LeMat-Bulk.

Cell lengths 13.588, 13.588, 5.298 Å; angles 90.00, 90.00, 90.00 degrees
Space group I-42d (No. 122)
Inequivalent atoms, fractional coordinates:
Cs 0.079 0.750 0.125 x8
In 0.000 0.000 0.500 x4
Au 0.000 0.000 0.000 x4

=====

Model two:
First-principles (PBE) data for a relaxed structure of Cs2InAu, as listed in Alexandria via LeMat-Bulk.

Cell lengths 4.807, 11.093, 7.476 Å; angles 90.00, 90.00, 90.00 degrees
Space group Imm2 (No. 44)
Inequivalent atoms, fractional coordinates:
Cs 0.000 0.189 0.000 x4
In 0.000 0.000 0.509 x2
Au 0.000 0.500 0.191 x2

=====

Which is the most stable structure? model two is the most stable.

=====

Model one:
First-principles (PBE) data for a relaxed structure of Cs2InAu, as listed in Alexandria via LeMat-Bulk.

Cell lengths 4.4791, 4.4791, 37.4630 Å; angles 90.00, 90.00, 120.00 degrees
Space group R-3m (No. 166, hexagonal axes)
Inequivalent atoms, fractional coordinates:
Cs 0.0000 0.0000 0.1033 x6
In 0.0000 0.0000 0.0000 x3
Au 0.0000 0.0000 0.5000 x3

=====

Model two:
First-principles (PBE) data for a relaxed structure of Cs2InAu, as listed in Alexandria via LeMat-Bulk.

Cell lengths 4.338, 4.338, 9.495 Å; angles 90.00, 90.00, 90.00 degrees
Space group P4/mmm (No. 123)
Inequivalent atoms, fractional coordinates:
Cs 0.000 0.000 0.220 x2
In 0.500 0.500 0.500 x1
Au 0.500 0.500 0.000 x1

=====

Which is the most stable structure? model two is the most stable.

=====

Model one:
First-principles (PBE) data for a relaxed structure of CsIn3Au3, as listed in Alexandria via LeMat-Bulk.

Cell lengths 7.775, 7.775, 7.775 Å; angles 90.00, 90.00, 90.00 degrees
Space group Pm-3n (No. 223)
Inequivalent atoms, fractional coordinates:
Cs 0.000 0.000 0.000 x2
In 0.000 0.250 0.500 x6
Au 0.000 0.500 0.250 x6

=====

Model two:
First-principles (PBE) data for a relaxed structure of CsIn3Au3, as listed in Alexandria via LeMat-Bulk.

Cell lengths 7.5291, 7.5291, 28.1888 Å; angles 90.00, 90.00, 120.00 degrees
Space group R-3 (No. 148, hexagonal axes)
Inequivalent atoms, fractional coordinates:
Cs 0.0000 0.0000 0.1541 x6
In 0.0453 0.5964 0.2866 x18
Au 0.0267 0.7938 0.7240 x18

=====

Which is the most stable structure? model two is the most stable.

=====

Model one:
First-principles (PBE) data for a relaxed structure of Cs2In5Au4, as listed in Alexandria via LeMat-Bulk.

Cell lengths 11.873, 8.009, 9.082 Å; angles 90.00, 123.87, 90.00 degrees
Space group C2/m (No. 12)
Inequivalent atoms, fractional coordinates:
Cs 0.079 0.000 0.351 x4
In 0.000 0.500 0.500 x2
In 0.157 0.299 0.080 x8
Au 0.074 0.500 0.257 x4
Au 0.210 0.500 0.858 x4

=====

Model two:
First-principles (PBE) data for a relaxed structure of Cs2In5Au4, as listed in Alexandria via LeMat-Bulk.

Cell lengths 6.944, 13.428, 8.140 Å; angles 90.00, 115.08, 90.00 degrees
Space group Cm (No. 8)
Inequivalent atoms, fractional coordinates:
Cs 0.000 0.000 0.000 x2
Cs 0.195 0.500 0.393 x2
In 0.098 0.250 0.697 x4
In 0.346 0.000 0.695 x2
In 0.348 0.252 0.195 x4
Au 0.220 0.153 0.438 x4
Au 0.476 0.152 0.954 x4

=====

Which is the most stable structure? model two is the most stable.

=====

Model one:
First-principles (PBE) data for a relaxed structure of CsTl2InAu, as listed in Alexandria via LeMat-Bulk.

Cell lengths 5.815, 5.815, 5.542 Å; angles 90.00, 90.00, 90.00 degrees
Space group P4/mmm (No. 123)
Inequivalent atoms, fractional coordinates:
Cs 0.000 0.000 0.000 x1
Tl 0.000 0.500 0.500 x2
In 0.500 0.500 0.000 x1
Au 0.500 0.500 0.500 x1

=====

Model two:
First-principles (PBE) data for a relaxed structure of CsTl2InAu, as listed in Alexandria via LeMat-Bulk.

Cell lengths 6.033, 6.033, 5.401 Å; angles 90.00, 90.00, 90.00 degrees
Space group P4/mmm (No. 123)
Inequivalent atoms, fractional coordinates:
Cs 0.000 0.000 0.000 x1
Tl 0.000 0.500 0.500 x2
In 0.500 0.500 0.500 x1
Au 0.500 0.500 0.000 x1

=====

Which is the most stable structure? model one is the most stable.

=====

Model one:
First-principles (PBE) data for a relaxed structure of CsKAu2, as listed in Alexandria via LeMat-Bulk.

Cell lengths 5.0211, 5.0211, 24.2319 Å; angles 90.00, 90.00, 120.00 degrees
Space group R-3m (No. 166, hexagonal axes)
Inequivalent atoms, fractional coordinates:
Cs 0.0000 0.0000 0.0000 x3
K 0.0000 0.0000 0.5000 x3
Au 0.0000 0.0000 0.2418 x6

=====

Model two:
First-principles (PBE) data for a relaxed structure of CsKAu2, as listed in Alexandria via LeMat-Bulk.

Cell lengths 4.8953, 4.8953, 25.4471 Å; angles 90.00, 90.00, 120.00 degrees
Space group R3m (No. 160, hexagonal axes)
Inequivalent atoms, fractional coordinates:
Cs 0.0000 0.0000 0.0000 x3
K 0.0000 0.0000 0.1693 x3
Au 0.0000 0.0000 0.5779 x3
Au 0.0000 0.0000 0.7584 x3

=====

Which is the most stable structure? model one is the most stable.